Computed, not measured: a geometry-optimized SrCu2Ir structure at the PBE level of DFT.

Computed properties:
Space group: No. 12
Spin magnetization: 0.0 μB per formula unit
Calculated volume: 20.5 A^3/atom
ΔE_f: -0.086 eV per atom
Energy above the most stable polymorph in this dataset: 0.0000 eV/atom

extended XYZ file:
```
4
Lattice="-2.661 0.918 -3.243 1.264 -0.619 -4.057 -2.311 -4.687 -2.295" Properties=species:S:1:pos:R:3 pbc="T T T"
Sr -0.927 -1.097 -2.399
Ir -2.781 -3.291 -7.197
Cu -1.986 -3.845 -2.318
Cu -2.179 -3.036 -4.775
```